LiFe2BO4 | Alexandria via LeMat-Bulk | PBE+U | optimized geometry; energy = -105.43 eV/cell
1.0
4.9922 -3.6425 0.0000
4.9922 3.6425 0.0000
-4.1741 0.0000 4.9420
Li Fe B O
2 4 2 8
direct
0.0000 0.5000 0.0000
0.5000 0.0000 0.5000
0.0000 0.0000 0.0000
0.0000 0.0000 0.5000
0.0000 0.5000 0.5000
0.5000 0.0000 0.0000
0.5000 0.5000 0.0000
0.5000 0.5000 0.5000
0.1790 0.1831 0.9444
0.1831 0.1790 0.4444
0.3237 0.6733 0.5098
0.3267 0.6763 0.9902
0.6733 0.3237 0.0098
0.6763 0.3267 0.4902
0.8169 0.8210 0.5556
0.8210 0.8169 0.0556